Material: AcTb3Er7
Method: DFT, GGA-PBE
State: optimized geometry

a = 5.5534 Å, b = 9.8381 Å, c = 8.9162 Å
α = 104.37°, β = 128.51°, γ = 90.02°
Closest atoms and distances in Å follow each position.
Atoms (fractional coordinates):
Ac  0.5000  0.5000  0.5000  2 Tb 3.49, 10 Er 3.60-3.81
Tb  0.2760  0.9926  0.7762  1 Tb 3.08, 4 Er 3.30-3.39
Tb  0.0000  0.5000  0.0000  10 Er 3.44-3.85, 2 Ac 3.49
Tb  0.7240  0.0074  0.2238  1 Tb 3.08, 4 Er 3.30-3.39
Er  0.9357  0.8328  0.9358  3 Er 3.12-3.29, 1 Tb 3.44
Er  0.8521  0.7118  0.3518  2 Tb 3.30-3.35, 3 Er 3.33-3.61
Er  0.6689  0.3557  0.1687  5 Er 3.29-3.61, 3 Tb 3.49-3.57, 2 Ac 3.60
Er  0.3311  0.6443  0.8313  5 Er 3.29-3.61, 3 Tb 3.49-3.57, 2 Ac 3.60
Er  0.5000  0.0000  0.5000  4 Tb 3.39, 2 Er 3.75
Er  0.1479  0.2882  0.6482  2 Tb 3.30-3.35, 3 Er 3.33-3.61
Er  0.0643  0.1672  0.0642  3 Er 3.12-3.29, 1 Tb 3.44

Properties
Size of the total moment ... 0.000 μB per atom
Formation energy ... 0.157 eV per atom
Volume ... 361.47 Å³/f.u.

Material: AcTb3Er2
Method: DFT, GGA-PBE
State: optimized geometry

a = 6.7474 Å, b = 6.7474 Å, c = 9.0228 Å
α = 98.25°, β = 98.25°, γ = 94.82°
Closest atoms and distances in Å follow each position.
Atoms (fractional coordinates):
Ac  0.0707  0.9293  0.2500  5 Tb 3.39-3.60, 4 Er 3.70-3.77
Ac  0.9293  0.0707  0.7500  5 Tb 3.39-3.60, 4 Er 3.70-3.77
Tb  0.1799  0.3593  0.5116  3 Tb 3.20-3.48, 1 Ac 3.42, 2 Er 3.55-3.56
Tb  0.6407  0.8201  0.9884  3 Tb 3.20-3.48, 1 Ac 3.42, 2 Er 3.55-3.56
Tb  0.8201  0.6407  0.4884  3 Tb 3.20-3.48, 1 Ac 3.42, 2 Er 3.55-3.56
Tb  0.3593  0.1799  0.0116  3 Tb 3.20-3.48, 1 Ac 3.42, 2 Er 3.55-3.56
Tb  0.4123  0.5877  0.2500  4 Tb 3.20-3.48, 1 Ac 3.39
Tb  0.5877  0.4123  0.7500  4 Tb 3.20-3.48, 1 Ac 3.39
Er  0.8706  0.3829  0.1252  2 Er 3.51-3.56, 9 Tb 3.55-3.93, 3 Ac 3.70-3.81
Er  0.6171  0.1294  0.3748  2 Er 3.51-3.56, 9 Tb 3.55-3.93, 3 Ac 3.70-3.81
Er  0.1294  0.6171  0.8748  2 Er 3.51-3.56, 9 Tb 3.55-3.93, 3 Ac 3.70-3.81
Er  0.3829  0.8706  0.6252  2 Er 3.51-3.56, 9 Tb 3.55-3.93, 3 Ac 3.70-3.81

Properties
Size of the total moment ... 0.000 μB per atom
Formation energy ... 0.100 eV per atom
Volume ... 200.01 Å³/f.u.

Material: AcTb12Er7
Method: DFT, GGA-PBE
State: optimized geometry

a = 8.7047 Å, b = 8.7047 Å, c = 8.7047 Å
α = 87.89°, β = 87.89°, γ = 87.89°
Closest atoms and distances in Å follow each position.
Atoms (fractional coordinates):
Ac  0.0000  0.0000  0.0000  6 Tb 3.57, 6 Er 3.77
Tb  0.8546  0.2773  0.7250  4 Tb 3.19-3.55, 2 Er 3.50-3.54, 1 Ac 3.57
Tb  0.7227  0.2750  0.1454  4 Tb 3.19-3.55, 2 Er 3.50-3.54, 1 Ac 3.57
Tb  0.6226  0.1381  0.4958  5 Tb 3.19-3.55, 2 Er 3.29-3.44
Tb  0.8619  0.5042  0.3774  5 Tb 3.19-3.55, 2 Er 3.29-3.44
Tb  0.2750  0.1454  0.7227  4 Tb 3.19-3.55, 2 Er 3.50-3.54, 1 Ac 3.57
Tb  0.5042  0.3774  0.8619  5 Tb 3.19-3.55, 2 Er 3.29-3.44
Tb  0.4958  0.6226  0.1381  5 Tb 3.19-3.55, 2 Er 3.29-3.44
Tb  0.7250  0.8546  0.2773  4 Tb 3.19-3.55, 2 Er 3.50-3.54, 1 Ac 3.57
Tb  0.1381  0.4958  0.6226  5 Tb 3.19-3.55, 2 Er 3.29-3.44
Tb  0.3774  0.8619  0.5042  5 Tb 3.19-3.55, 2 Er 3.29-3.44
Tb  0.2773  0.7250  0.8546  4 Tb 3.19-3.55, 2 Er 3.50-3.54, 1 Ac 3.57
Tb  0.1454  0.7227  0.2750  4 Tb 3.19-3.55, 2 Er 3.50-3.54, 1 Ac 3.57
Er  0.8447  0.6094  0.9396  3 Er 3.42-3.56, 6 Tb 3.44-3.82, 1 Ac 3.77
Er  0.3906  0.0604  0.1553  3 Er 3.42-3.56, 6 Tb 3.44-3.82, 1 Ac 3.77
Er  0.0604  0.1553  0.3906  3 Er 3.42-3.56, 6 Tb 3.44-3.82, 1 Ac 3.77
Er  0.5000  0.5000  0.5000  6 Tb 3.29
Er  0.9396  0.8447  0.6094  3 Er 3.42-3.56, 6 Tb 3.44-3.82, 1 Ac 3.77
Er  0.6094  0.9396  0.8447  3 Er 3.42-3.56, 6 Tb 3.44-3.82, 1 Ac 3.77
Er  0.1553  0.3906  0.0604  3 Er 3.42-3.56, 6 Tb 3.44-3.82, 1 Ac 3.77

Properties
Size of the total moment ... 0.000 μB per atom
Formation energy ... 0.238 eV per atom
Volume ... 658.26 Å³/f.u.